Below is RbAl2Ir after structural relaxation, with properties calculated at the GGA-PBEsol level.

Values from the calculation:
mass density = 4130 kg/m3
energy of formation = 0.04 eV/atom
crystal system = tetragonal

The structure in POSCAR format:
```
RbAl2Ir
1.0
-4.7564 -3.8823 1.0760
2.7857 -4.3721 -3.4610
4.1899 1.7487 6.7764
Ir Al Rb
2 4 2
Direct
0.2500 0.7500 0.5000 Ir
0.0000 0.0000 0.0000 Ir
0.1250 0.8750 0.7500 Al
0.1250 0.8750 0.2500 Al
0.1250 0.3750 0.2500 Al
0.6250 0.8750 0.7500 Al
0.5000 0.5000 0.0000 Rb
0.7500 0.2500 0.5000 Rb
```